# 1
3
Lattice="-2.204 1.438 1.388 -0.177 -0.185 3.099 3.308 6.879 1.313" Properties=species:S:1:pos:R:3 comment="TlOsBr | Alexandria via LeMat-Bulk | SCAN | single point on PBEsol structure" sg="Fmm2, No. 42" formation_energy_uncorrected_ev_per_fu=3.11 magmom_total_mub_per_cell=0.0 dos_ef_per_ev_fu=2.34 vol_a3_per_atom=20.6 pbc="T T T"
Os 0.836 5.684 1.815
Br 3.085 6.568 1.282
Tl 0.492 2.945 0.918



# 2
5
Lattice="-2.217 -3.676 3.972 4.053 1.716 3.851 -3.586 4.213 1.897" Properties=species:S:1:pos:R:3 comment="Sr3LiPb | Alexandria via LeMat-Bulk | SCAN | single point on PBEsol structure" total_energy_ev_per_cell=-144.508 sg="Pm-3m, No. 221" magmom_total_mub_per_cell=0.0 dos_ef_per_ev_fu=2.68 vol_a3_per_atom=40.0 pbc="T T T"
Sr -1.793 2.106 0.948
Sr -1.109 -1.838 1.986
Sr 2.027 0.858 1.925
Pb -0.875 1.126 4.860
Li 0.000 0.000 0.000



# 3
5
Lattice="5.318 0.000 0.000 0.000 5.318 0.000 0.000 0.000 5.351" Properties=species:S:1:pos:R:3 comment="In2GeSbN | Alexandria via LeMat-Bulk | SCAN | single point on PBEsol structure" sg="P4/mmm, No. 123" formation_energy_uncorrected_ev_per_fu=6.76 magmom_total_mub_per_cell=2.4 dos_ef_per_ev_fu=2.82 vol_a3_per_atom=30.3 pbc="T T T"
In 0.000 2.659 0.000
In 2.659 0.000 0.000
N 2.659 2.659 2.675
Ge 0.000 0.000 0.000
Sb 0.000 0.000 2.675



- What is the formula in the first record?
  TlOsBr



Copy entry 3 word for word.
5
Lattice="5.318 0.000 0.000 0.000 5.318 0.000 0.000 0.000 5.351" Properties=species:S:1:pos:R:3 comment="In2GeSbN | Alexandria via LeMat-Bulk | SCAN | single point on PBEsol structure" sg="P4/mmm, No. 123" formation_energy_uncorrected_ev_per_fu=6.76 magmom_total_mub_per_cell=2.4 dos_ef_per_ev_fu=2.82 vol_a3_per_atom=30.3 pbc="T T T"
In 0.000 2.659 0.000
In 2.659 0.000 0.000
N 2.659 2.659 2.675
Ge 0.000 0.000 0.000
Sb 0.000 0.000 2.675